Entry 1:
CaTiO3: relaxed, PBEsol.

Output
Spin magnetization = 0.000 μB/cell
SG = R-3, No. 148

Cell and atoms, written as POSCAR:
```
CaTiO3
1.0
5.2743 0.0000 0.0000
2.6372 4.5677 0.0000
2.6372 1.5226 4.9789
Ti O Ca
2 6 2
direct
0.8502 0.8502 0.4493 Ti
0.1498 0.1498 0.5507 Ti
0.0245 0.8138 0.7260 O
0.4357 0.0245 0.7260 O
0.8138 0.4357 0.7260 O
0.5643 0.9755 0.2740 O
0.1862 0.5643 0.2740 O
0.9755 0.1862 0.2740 O
0.6364 0.6364 0.0907 Ca
0.3636 0.3636 0.9093 Ca
```

***

Entry 2:
RbWSe2: relaxed, PBEsol.

Output
Spin magnetization = 0.000 μB/cell
SG = R-3m, No. 166

Cell and atoms, written as POSCAR:
```
RbWSe2
1.0
-0.9307 -2.4025 -1.9420
-1.5978 -2.5273 1.2122
-9.5812 3.0847 -1.9045
W Se Rb
1 2 1
direct
0.0000 0.0000 0.0000 W
0.9215 0.9215 0.2354 Se
0.0785 0.0785 0.7646 Se
0.5000 0.5000 0.5000 Rb
```

***

Sequential ΔE_f (raw) output: -3150; 505 meV per atom